Crystalline Mo5W4 at its relaxed geometry, computed with PBEsol.

Properties
**Total DFT energy (no corrections)**: -12.675 eV/atom
**Energy of formation**: 0.000 eV/atom
**Spin magnetization**: 0.000 μB/f.u.
**Theoretical density**: 14.51 g/cm3

Unit cell a=9.4103 b=9.4103 c=3.1402 alpha=90.00 beta=90.00 gamma=90.00
Closest atoms and distances in Å follow each position.
Space group I4/mmm (No. 139)
Unique sites:
Mo: 0.0000 0.0000 0.0000  8 Mo 2.72
Mo: 0.1664 0.1664 0.5000  4 W 2.71, 4 Mo 2.72
W: 0.0000 0.3327 0.0000  4 Mo 2.71, 4 W 2.72